(1)
CdHgPb4 PBE optimized geometry; offset from the most stable computed form = 0.77 eV/f.u.; total energy = -14.92 eV per cell; total moment = 0.00 μB/f.u.; energy relative to the elements = 0.1889 eV/atom
1.0
0.000 4.600 4.600
4.600 0.000 4.600
4.600 4.600 0.000
Cd Hg Pb
1 1 4
Cartesian
0.000 0.000 0.000 Cd
6.901 6.901 6.901 Hg
3.449 3.449 3.449 Pb
5.752 5.752 3.449 Pb
5.752 3.449 5.752 Pb
3.449 5.752 5.752 Pb


(2)
Cd4Hg4Pb3 PBE optimized geometry; offset from the most stable computed form = 0.10 eV/f.u.; total energy = -15.48 eV per cell; total moment = 0.00 μB/f.u.; energy relative to the elements = 0.0465 eV/atom
1.0
-2.448 3.625 8.333
2.448 -3.625 8.333
2.448 3.625 -8.333
Cd Hg Pb
4 4 3
Cartesian
2.448 -1.997 5.380 Cd
0.000 1.628 2.953 Cd
2.448 1.997 5.380 Cd
0.000 5.622 2.953 Cd
2.448 0.000 3.173 Hg
0.000 2.022 0.000 Hg
0.000 5.228 0.000 Hg
0.000 3.625 5.161 Hg
2.448 0.000 0.000 Pb
0.000 0.000 6.589 Pb
0.000 0.000 10.078 Pb


(3)
Cd7Hg3Pb PBE optimized geometry; offset from the most stable computed form = 0.36 eV/f.u.; total energy = -19.65 eV per cell; total moment = 0.00 μB/f.u.; energy relative to the elements = 0.1088 eV/atom
1.0
1.639 -14.551 0.000
1.639 14.551 0.000
0.000 0.000 14.038
Cd Hg Pb
14 6 2
Cartesian
1.639 13.912 8.477 Cd
1.639 13.912 12.580 Cd
1.639 12.865 3.510 Cd
1.639 10.743 7.897 Cd
1.639 10.743 13.161 Cd
1.639 7.890 8.062 Cd
1.639 7.890 12.995 Cd
1.639 -7.890 1.043 Cd
1.639 -7.890 5.976 Cd
1.639 -10.743 0.878 Cd
1.639 -10.743 6.142 Cd
1.639 -12.865 10.529 Cd
1.639 -13.912 1.458 Cd
1.639 -13.912 5.561 Cd
1.639 6.764 3.510 Hg
1.639 2.081 7.998 Hg
1.639 2.081 13.060 Hg
1.639 -2.081 0.978 Hg
1.639 -2.081 6.041 Hg
1.639 -6.764 10.529 Hg
1.639 2.577 3.510 Pb
1.639 -2.577 10.529 Pb


(4)
CdHg5Pb6 PBE optimized geometry; total energy = -24.32 eV per cell; total moment = 0.00 μB/f.u.; energy relative to the elements = 0.0292 eV/atom
1.0
6.184 -5.360 0.000
6.184 5.360 0.000
-2.688 0.000 5.227
Cd Hg Pb
1 5 6
Cartesian
0.000 0.000 0.000 Cd
4.840 3.617 2.613 Hg
6.184 1.833 0.000 Hg
4.840 0.000 2.613 Hg
6.184 -1.833 0.000 Hg
4.840 -3.617 2.613 Hg
2.429 1.781 1.314 Pb
1.108 0.000 3.940 Pb
2.429 -1.781 1.314 Pb
7.251 1.781 3.913 Pb
8.572 0.000 1.286 Pb
7.251 -1.781 3.913 Pb


(5)
Cd2Hg8Pb PBE optimized geometry; offset from the most stable computed form = 0.00 eV/f.u.; total energy = -7.62 eV per cell; total moment = 0.00 μB/f.u.; energy relative to the elements = 0.0306 eV/atom
1.0
10.488 -1.754 0.000
10.488 1.754 0.000
-3.146 0.000 7.856
Cd Hg Pb
2 8 1
Cartesian
3.807 0.000 2.444 Cd
14.023 0.000 5.411 Cd
-1.850 0.000 6.723 Hg
1.164 0.000 4.513 Hg
6.517 0.000 0.462 Hg
5.975 0.000 6.237 Hg
11.854 0.000 1.618 Hg
11.312 0.000 7.394 Hg
16.665 0.000 3.342 Hg
19.680 0.000 1.132 Hg
8.915 0.000 3.928 Pb


(6)
Cd8Hg6Pb PBE optimized geometry; offset from the most stable computed form = 0.36 eV/f.u.; total energy = -12.06 eV per cell; total moment = 0.00 μB/f.u.; energy relative to the elements = 0.0517 eV/atom
1.0
3.752 2.166 8.119
-3.752 2.166 8.119
0.000 -4.333 8.119
Cd Hg Pb
8 6 1
Cartesian
-0.727 -1.669 7.443 Cd
0.000 0.000 4.868 Cd
-1.082 1.464 7.443 Cd
-1.809 -0.205 16.914 Cd
1.809 0.205 7.443 Cd
1.082 -1.464 16.914 Cd
0.000 0.000 19.489 Cd
0.727 1.669 16.914 Cd
-0.569 -2.519 10.572 Hg
-2.466 -0.766 13.785 Hg
-1.897 1.752 10.572 Hg
1.897 -1.752 13.785 Hg
2.466 0.766 10.572 Hg
0.569 2.519 13.785 Hg
0.000 0.000 12.179 Pb


(7)
Cd2Hg6Pb PBE optimized geometry; offset from the most stable computed form = 0.08 eV/f.u.; total energy = -6.96 eV per cell; total moment = 0.00 μB/f.u.; energy relative to the elements = 0.0434 eV/atom
1.0
3.963 2.288 4.494
-3.963 2.288 4.494
0.000 -4.576 4.494
Cd Hg Pb
2 6 1
Cartesian
0.000 0.000 0.000 Cd
0.000 0.000 2.947 Cd
-3.179 -0.482 6.504 Hg
-0.909 -1.972 8.661 Hg
2.007 -2.512 6.504 Hg
-1.253 1.773 8.661 Hg
1.172 2.994 6.504 Hg
2.162 0.199 8.661 Hg
0.000 0.000 6.232 Pb


(8)
CdHg2Pb2 PBE optimized geometry; offset from the most stable computed form = 0.51 eV/f.u.; total energy = -16.70 eV per cell; total moment = 0.00 μB/f.u.; energy relative to the elements = 0.1174 eV/atom
1.0
4.087 0.000 0.000
0.000 4.087 0.000
0.000 0.000 17.745
Cd Hg Pb
2 4 4
Cartesian
0.000 0.000 0.000 Cd
2.043 2.043 8.872 Cd
0.000 2.043 4.436 Hg
0.000 2.043 13.308 Hg
2.043 0.000 4.436 Hg
2.043 0.000 13.308 Hg
0.000 0.000 7.128 Pb
0.000 0.000 10.617 Pb
2.043 2.043 1.744 Pb
2.043 2.043 16.000 Pb


(9)
CdHg7Pb12 PBE optimized geometry; total energy = -46.34 eV per cell; total moment = 0.00 μB/f.u.; energy relative to the elements = 0.0593 eV/atom
1.0
5.795 3.346 5.288
-5.795 3.346 5.288
0.000 -6.691 5.288
Cd Hg Pb
1 7 12
Cartesian
0.000 0.000 0.000 Cd
-1.785 0.609 3.082 Hg
0.365 -1.851 3.082 Hg
1.420 1.241 3.082 Hg
0.000 0.000 7.931 Hg
-1.420 -1.241 12.781 Hg
-0.365 1.851 12.781 Hg
1.785 -0.609 12.781 Hg
-2.870 -0.998 6.825 Pb
-0.621 -3.563 5.811 Pb
-2.775 2.319 5.811 Pb
-3.396 -1.244 10.052 Pb
-0.571 -2.985 9.038 Pb
-2.300 1.987 9.038 Pb
2.300 -1.987 6.825 Pb
0.571 2.985 6.825 Pb
3.396 1.244 5.811 Pb
2.775 -2.319 10.052 Pb
0.621 3.563 10.052 Pb
2.870 0.998 9.038 Pb


(10)
Cd3Hg4Pb PBE optimized geometry; offset from the most stable computed form = 0.05 eV/f.u.; total energy = -14.58 eV per cell; total moment = 0.00 μB/f.u.; energy relative to the elements = 0.0461 eV/atom
1.0
11.965 0.000 0.000
0.000 10.687 0.000
0.000 0.000 3.236
Cd Hg Pb
6 8 2
Cartesian
0.000 0.000 0.000 Cd
2.991 0.000 1.525 Cd
2.991 5.343 1.550 Cd
5.983 0.000 0.000 Cd
8.974 0.000 1.711 Cd
8.974 5.343 1.686 Cd
0.000 2.535 1.618 Hg
0.000 8.152 1.618 Hg
2.991 2.700 3.145 Hg
2.991 7.987 3.145 Hg
5.983 2.535 1.618 Hg
5.983 8.152 1.618 Hg
8.974 2.700 0.091 Hg
8.974 7.987 0.091 Hg
0.000 5.343 0.000 Pb
5.983 5.343 0.000 Pb


(11)
CdHg4Pb7 PBE optimized geometry; offset from the most stable computed form = 0.85 eV/f.u.; total energy = -26.85 eV per cell; total moment = 0.00 μB/f.u.; energy relative to the elements = 0.1028 eV/atom
1.0
7.197 -2.844 0.000
7.197 2.844 0.000
-6.409 0.000 9.155
Cd Hg Pb
1 4 7
Cartesian
0.000 0.000 0.000 Cd
-0.285 0.000 6.164 Hg
4.671 0.000 2.068 Hg
3.314 0.000 7.088 Hg
8.270 0.000 2.991 Hg
-0.996 0.000 3.001 Pb
-2.652 0.000 8.153 Pb
2.247 0.000 4.074 Pb
7.197 0.000 0.000 Pb
5.738 0.000 5.082 Pb
10.637 0.000 1.002 Pb
8.981 0.000 6.155 Pb


(12)
Cd5HgPb8 PBE optimized geometry; total energy = -33.65 eV per cell; total moment = 0.00 μB/f.u.; energy relative to the elements = 0.0637 eV/atom
1.0
-4.704 4.704 4.690
4.704 -4.704 4.690
4.704 4.704 -4.690
Cd Hg Pb
5 1 8
Cartesian
0.000 0.000 0.000 Cd
5.886 2.451 -1.074 Cd
2.451 3.523 1.074 Cd
-1.181 2.253 3.616 Cd
2.253 1.181 5.764 Cd
4.704 0.000 2.345 Hg
3.153 0.774 -0.530 Pb
3.117 3.886 -2.054 Pb
1.588 0.819 2.636 Pb
3.931 -1.551 5.220 Pb
5.523 3.117 2.054 Pb
0.774 6.256 0.530 Pb
1.551 3.931 4.160 Pb
-0.819 1.588 6.744 Pb